Record 1
{
  "formula": "ScPtO2",
  "functional": "PBE",
  "state": "relaxed",
  "space_group": "R-3m (166)",
  "formation_energy_uncorrected_ev_per_atom": -0.828,
  "lattice": [[1.789, 1.033, 5.326], [-1.789, 1.033, 5.326], [0.000, -2.066, 5.326]],
  "species": ["Sc", "Pt", "O", "O"],
  "frac_coords": [[0.000, 0.000, 0.000], [0.500, 0.500, 0.500], [0.125, 0.125, 0.125], [0.875, 0.875, 0.875]]
}

=====

Record 2
{
  "formula": "Sc3PtO",
  "functional": "PBE",
  "state": "relaxed",
  "space_group": "Cmmm (65)",
  "formation_energy_uncorrected_ev_per_atom": -1.663,
  "lattice": [[4.262, -5.868, 0.000], [4.262, 5.868, 0.000], [0.000, 0.000, 3.389]],
  "species": ["Sc", "Sc", "Sc", "Sc", "Sc", "Sc", "Pt", "Pt", "O", "O"],
  "frac_coords": [[0.182, 0.442, 0.500], [0.185, 0.815, 0.000], [0.442, 0.182, 0.500], [0.558, 0.818, 0.500], [0.815, 0.185, 0.000], [0.818, 0.558, 0.500], [0.000, 0.000, 0.500], [0.500, 0.500, 0.000], [0.000, 0.500, 0.000], [0.500, 0.000, 0.000]]
}